--- 1 ---
DFT (PBE) results for a relaxed Sr2Al7Ge crystal.

Calculated values
Density of states at the Fermi level   2.66 states/eV per cell
V   225.1 Å³ per cell
Spin magnetization   0.00 μB per cell

Unit cell a=4.5135 b=4.5135 c=11.0486 alpha=90.00 beta=90.00 gamma=90.00
Atoms (fractional coordinates):
Al1 0.0000 0.0000 0.5000
Ge1 0.5000 0.5000 0.0000
Al2 0.5000 0.0000 0.1296
Sr1 0.5000 0.0000 0.7503
Al3 0.5000 0.0000 0.3671
Sr2 0.0000 0.5000 0.2497
Al4 0.0000 0.5000 0.6329
Al5 0.0000 0.0000 0.0000
Al6 0.0000 0.5000 0.8704
Al7 0.5000 0.5000 0.5000



--- 2 ---
DFT (PBE) results for a relaxed Sr2Al7Ge crystal.

Calculated values
Density of states at the Fermi level   2.80 states/eV per cell
V   222.2 Å³ per cell
Spin magnetization   0.00 μB per cell

Unit cell a=4.4680 b=4.4680 c=11.1313 alpha=90.00 beta=90.00 gamma=90.00
Atoms (fractional coordinates):
Al1 0.5000 0.0000 0.7504
Sr1 0.5000 0.5000 0.5030
Al2 0.0000 0.0000 0.6174
Al3 0.0000 0.0000 0.3805
Al4 0.0000 0.5000 0.7504
Al5 0.5000 0.0000 0.2507
Sr2 0.0000 0.0000 0.9980
Al6 0.5000 0.5000 0.8827
Al7 0.0000 0.5000 0.2507
Ge1 0.5000 0.5000 0.1162



Of them, 1 has the lowest stability.